No. 1
# NdNpC2

NdNpC2 after structural relaxation (GGA-PBE, the Alexandria database).

Cell: 6.1888 6.1888 6.1888 Å, 33.83 33.83 33.83°
Last column: nearest neighbours and their distance in Å.
Fractional positions:
Nd: 0.0000 0.0000 0.0000  6 C 2.76
Np: 0.5000 0.5000 0.5000  6 C 2.35
C: 0.2297 0.2297 0.2297  3 Np 2.35
C: 0.7703 0.7703 0.7703  3 Np 2.35

Computed properties:
**Fermi-level density of states**: 1.506 states/eV per atom
**VASP energy**: -8.969 eV/atom
**Energy relative to the elements**: 71 meV/atom
**M_tot**: 1.2 μB/cell


No. 2
# Nd6Os2SI3

Nd6Os2SI3 after structural relaxation (GGA-PBE, the Alexandria database).

Cell: 7.3292 7.3292 8.3792 Å, 98.37 98.37 119.97°
Last column: nearest neighbours and their distance in Å.
Fractional positions:
Nd: 0.0912 0.4385 0.8134  2 Os 2.82-2.83, 1 S 2.95
Nd: 0.2145 0.2145 0.1862  2 Os 2.82, 1 S 2.95
Nd: 0.4385 0.0912 0.8134  2 Os 2.82-2.83, 1 S 2.95
Nd: 0.5615 0.9088 0.1866  2 Os 2.82-2.83, 1 S 2.95
Nd: 0.7855 0.7855 0.8138  2 Os 2.82, 1 S 2.95
Nd: 0.9088 0.5615 0.1866  2 Os 2.82-2.83, 1 S 2.95
Os: 0.1668 0.8332 0.0000  6 Nd 2.82-2.83
Os: 0.8332 0.1668 0.0000  6 Nd 2.82-2.83
S: 0.5000 0.5000 0.0000  6 Nd 2.95
I: 0.0000 0.0000 0.5000  6 Nd 3.43-3.54
I: 0.3347 0.6653 0.5000  6 Nd 3.45-3.54
I: 0.6653 0.3347 0.5000  6 Nd 3.45-3.54

Computed properties:
**Fermi-level density of states**: 0.840 states/eV per atom
**VASP energy**: -5.882 eV/atom
**M_tot**: 0.0 μB/cell